The following is a meta-GGA SCAN calculation of ZrPRh2 at its PBEsol-relaxed geometry, from Alexandria via LeMat-Bulk.

Computed properties:
Symmetry: Pmm2, No. 25
Formation enthalpy at 0 K: -670 meV/atom

Cell lengths 3.094, 3.677, 5.337 Å; angles 90.00, 90.00, 90.00 degrees
Atoms (fractional coordinates):
Zr 0.000 0.000 0.000
P 0.500 0.500 0.335
Rh 0.000 0.000 0.478
Rh 0.500 0.500 0.774